# Y2HoEr12

A geometry-optimized Y2HoEr12 structure (PBE-GGA, Alexandria via LeMat-Bulk).

Cell lengths 6.390, 6.390, 24.486 Å; angles 90.00, 90.00, 90.00 degrees
Fractional positions:
Y 0.500 0.000 0.272
Y 0.000 0.500 0.272
Y 0.000 0.500 0.728
Y 0.500 0.000 0.728
Ho 0.500 0.000 0.000
Ho 0.000 0.500 0.000
Er 0.500 0.500 0.787
Er 0.000 0.000 0.787
Er 0.751 0.749 0.888
Er 0.251 0.751 0.888
Er 0.000 0.000 0.339
Er 0.249 0.749 0.112
Er 0.831 0.331 0.561
Er 0.500 0.500 0.339
Er 0.249 0.251 0.888
Er 0.749 0.751 0.112
Er 0.331 0.169 0.561
Er 0.669 0.169 0.439
Er 0.000 0.000 0.661
Er 0.169 0.331 0.439
Er 0.251 0.249 0.112
Er 0.831 0.669 0.439
Er 0.669 0.831 0.561
Er 0.000 0.000 0.213
Er 0.169 0.669 0.561
Er 0.500 0.500 0.661
Er 0.749 0.249 0.888
Er 0.500 0.500 0.213
Er 0.331 0.831 0.439
Er 0.751 0.251 0.112

Output
Total energy in eV for the cell shown: -133.3
DFT formation energy in meV/atom: 375